No. 1
DFT (GGA-PBE) results for crystalline Na2MgZn2 at its relaxed geometry.

extended XYZ file:
```
10
Lattice="7.351 0.000 0.000 0.000 7.351 0.000 0.000 0.000 4.496" Properties=species:S:1:pos:R:3 pbc="T T T"
Na 1.281 4.956 2.248
Na 4.956 6.070 2.248
Na 6.070 2.395 2.248
Na 2.395 1.281 2.248
Zn 2.764 6.439 0.000
Zn 6.439 4.587 0.000
Zn 4.587 0.912 0.000
Zn 0.912 2.764 0.000
Mg 0.000 0.000 0.000
Mg 3.675 3.675 0.000
```

Properties
energy above the most stable polymorph in this dataset = 0.0000 eV per atom
SG = P4/mbm
electronic total energy = -1.284 eV/atom
energy relative to the elements = 73 meV/atom

---

No. 2
DFT (GGA-PBE) results for crystalline Na2MgZn at its relaxed geometry.

extended XYZ file:
```
8
Lattice="-2.133 -3.246 7.748 0.473 -8.028 -3.233 1.982 -5.762 2.980" Properties=species:S:1:pos:R:3 pbc="T T T"
Na -0.858 -4.593 5.471
Na 0.603 -6.743 -0.594
Na 0.846 -8.252 4.048
Na 0.051 -14.484 6.066
Zn 0.000 0.000 0.000
Zn -0.491 -7.322 6.493
Mg -0.830 -5.637 2.258
Mg 0.812 -9.713 1.002
```

Properties
energy above the most stable polymorph in this dataset = 0.1041 eV per atom
SG = I-42d
electronic total energy = -1.167 eV/atom
energy relative to the elements = 210 meV/atom

---

No. 3
DFT (GGA-PBE) results for crystalline NaMgZn2 at its relaxed geometry.

extended XYZ file:
```
4
Lattice="0.000 3.421 3.421 3.421 0.000 3.421 3.421 3.421 0.000" Properties=species:S:1:pos:R:3 pbc="T T T"
Na 0.000 0.000 0.000
Zn 1.710 1.710 1.710
Zn 5.131 5.131 5.131
Mg 3.421 3.421 3.421
```

Properties
energy above the most stable polymorph in this dataset = 0.0269 eV per atom
SG = Fm-3m
electronic total energy = -1.316 eV/atom
energy relative to the elements = 49 meV/atom

---

No. 4
DFT (GGA-PBE) results for crystalline NaMg6Zn8 at its relaxed geometry.

extended XYZ file:
```
15
Lattice="6.610 0.141 2.557 1.801 6.361 2.557 0.182 0.141 7.085" Properties=species:S:1:pos:R:3 pbc="T T T"
Na 0.000 0.000 0.000
Mg 1.810 2.549 5.810
Mg 4.106 5.533 7.489
Mg 4.901 2.580 8.537
Mg 3.692 4.063 3.661
Mg 4.487 1.110 4.708
Mg 6.783 4.093 6.387
Zn 2.280 3.702 8.312
Zn 2.165 5.369 5.485
Zn 3.231 0.743 7.252
Zn 6.520 5.040 9.256
Zn 2.072 1.602 2.942
Zn 5.361 5.899 4.945
Zn 6.427 1.274 6.713
Zn 6.313 2.940 3.885
```

Properties
SG = R-3
electronic total energy = -1.383 eV/atom
energy relative to the elements = 22 meV/atom

---

No. 5
DFT (GGA-PBE) results for crystalline Na2MgZn at its relaxed geometry.

extended XYZ file:
```
4
Lattice="2.365 -2.061 4.238 0.971 3.024 4.209 -2.731 -0.723 4.452" Properties=species:S:1:pos:R:3 pbc="T T T"
Na 0.151 0.060 3.225
Na 0.454 0.180 9.675
Zn 0.302 0.120 6.450
Mg 0.000 0.000 0.000
```

Properties
energy above the most stable polymorph in this dataset = 0.0484 eV per atom
SG = Fm-3m
electronic total energy = -1.222 eV/atom
energy relative to the elements = 154 meV/atom

---

No. 6
DFT (GGA-PBE) results for crystalline NaMg8Zn4 at its relaxed geometry.

extended XYZ file:
```
13
Lattice="-2.106 3.709 -3.252 -7.413 0.847 1.343 0.389 6.876 3.168" Properties=species:S:1:pos:R:3 pbc="T T T"
Na 0.000 0.000 0.000
Mg -2.343 4.765 2.529
Mg -4.680 2.958 1.982
Mg -5.301 6.317 1.792
Mg -3.828 5.115 -0.534
Mg -6.807 3.983 0.105
Mg -2.323 7.449 1.154
Mg -2.098 2.708 0.024
Mg -7.031 8.724 1.234
Zn 0.195 3.438 1.584
Zn -0.858 5.293 -0.042
Zn -3.706 0.423 0.671
Zn -4.759 2.278 -0.955
```

Properties
SG = I4/mmm
electronic total energy = -1.512 eV/atom
energy relative to the elements = -38 meV/atom

---

No. 7
DFT (GGA-PBE) results for crystalline NaMgZn at its relaxed geometry.

extended XYZ file:
```
6
Lattice="5.302 -0.121 -1.342 -3.188 4.238 -1.342 0.167 0.325 5.959" Properties=species:S:1:pos:R:3 pbc="T T T"
Na -0.322 2.766 -1.342
Na 2.435 1.351 -1.342
Mg 0.405 0.788 1.526
Mg 1.876 3.653 1.747
Zn 3.263 1.131 1.637
Zn -0.982 3.310 1.637
```

Properties
energy above the most stable polymorph in this dataset = 0.0000 eV per atom
SG = Fmmm
electronic total energy = -1.402 eV/atom
energy relative to the elements = -6 meV/atom

---

No. 8
DFT (GGA-PBE) results for crystalline NaMgZn2 at its relaxed geometry.

extended XYZ file:
```
4
Lattice="3.027 0.000 0.000 0.000 5.139 0.000 0.000 0.000 5.139" Properties=species:S:1:pos:R:3 pbc="T T T"
Na 1.514 0.000 0.000
Zn 0.000 0.000 2.569
Zn 0.000 2.569 0.000
Mg 1.514 2.569 2.569
```

Properties
energy above the most stable polymorph in this dataset = 0.0311 eV per atom
SG = P4/mmm
electronic total energy = -1.312 eV/atom
energy relative to the elements = 54 meV/atom

---

No. 9
DFT (GGA-PBE) results for crystalline NaMg6Zr at its relaxed geometry.

extended XYZ file:
```
8
Lattice="-5.773 -0.008 3.003 4.607 -4.238 1.777 1.778 3.369 3.427" Properties=species:S:1:pos:R:3 pbc="T T T"
Na 1.169 -0.790 4.001
Mg 1.473 -1.748 0.954
Mg 0.874 -3.931 3.411
Mg -1.497 -1.751 2.498
Mg -1.104 1.347 3.079
Mg -1.702 -0.832 5.531
Mg -4.065 1.343 4.620
Zr 3.743 -3.887 1.879
```

Properties
energy above the most stable polymorph in this dataset = 0.0000 eV per atom
SG = Amm2
electronic total energy = -2.356 eV/atom
energy relative to the elements = 74 meV/atom

---

No. 10
DFT (GGA-PBE) results for crystalline NaMg14Zr at its relaxed geometry.

extended XYZ file:
```
16
Lattice="3.236 -5.604 0.000 3.236 5.604 0.000 0.000 0.000 10.266" Properties=species:S:1:pos:R:3 pbc="T T T"
Na 0.000 0.000 5.133
Mg 1.645 2.787 0.000
Mg 1.632 2.794 5.133
Mg 4.827 2.787 0.000
Mg 4.840 2.794 5.133
Mg 3.236 0.031 0.000
Mg 3.236 0.016 5.133
Mg 3.236 3.755 2.508
Mg 3.236 3.755 7.759
Mg 1.601 0.924 2.508
Mg 1.601 0.924 7.759
Mg 4.870 0.924 2.508
Mg 4.870 0.924 7.759
Mg 3.236 -1.868 2.525
Mg 3.236 -1.868 7.742
Zr 0.000 0.000 0.000
```

Properties
energy above the most stable polymorph in this dataset = 0.0000 eV per atom
SG = P-6m2
electronic total energy = -1.979 eV/atom
energy relative to the elements = 33 meV/atom

---

No. 11
DFT (GGA-PBE) results for crystalline NaMg14Zr at its relaxed geometry.

extended XYZ file:
```
16
Lattice="3.757 -5.011 0.000 3.757 5.011 0.000 0.000 0.000 9.893" Properties=species:S:1:pos:R:3 pbc="T T T"
Na 3.757 0.881 4.947
Mg 3.757 -3.687 0.000
Mg 3.757 1.789 0.000
Mg 1.691 -1.472 4.947
Mg 2.151 -0.980 0.000
Mg 5.823 -1.472 4.947
Mg 5.364 -0.980 0.000
Mg 2.009 1.225 2.476
Mg 2.009 1.225 7.418
Mg 5.506 1.225 2.476
Mg 5.506 1.225 7.418
Mg 3.757 -1.530 2.643
Mg 3.757 -1.530 7.250
Mg 3.757 3.963 2.394
Mg 3.757 3.963 7.500
Zr 3.757 -3.843 4.947
```

Properties
energy above the most stable polymorph in this dataset = 0.0188 eV per atom
SG = Amm2
electronic total energy = -1.960 eV/atom
energy relative to the elements = 52 meV/atom

---

No. 12
DFT (GGA-PBE) results for crystalline Na2MgZr at its relaxed geometry.

extended XYZ file:
```
8
Lattice="8.558 0.000 0.000 0.000 8.558 0.000 4.279 4.279 3.096" Properties=species:S:1:pos:R:3 pbc="T T T"
Na 6.244 2.140 0.774
Na 2.315 6.419 0.774
Na 6.419 6.594 2.322
Na 10.698 10.523 2.322
Mg 4.279 4.279 0.000
Mg 4.279 8.558 1.548
Zr 0.000 0.000 0.000
Zr 8.558 4.279 1.548
```

Properties
SG = I-42d
electronic total energy = -2.382 eV/atom
energy relative to the elements = 813 meV/atom

---

No. 13
DFT (GGA-PBE) results for crystalline NaMg6Zr at its relaxed geometry.

extended XYZ file:
```
8
Lattice="-3.835 -3.771 3.548 3.942 0.735 5.044 -2.377 3.663 1.324" Properties=species:S:1:pos:R:3 pbc="T T T"
Na -1.189 1.832 0.662
Mg 0.782 2.199 3.184
Mg -3.106 -0.054 2.436
Mg -1.811 -2.598 3.937
Mg 1.918 -0.438 4.654
Mg 0.028 -0.790 2.236
Mg 0.079 -2.246 6.355
Zr -1.135 0.314 4.958
```

Properties
energy above the most stable polymorph in this dataset = 0.0052 eV per atom
SG = P4/mmm
electronic total energy = -2.351 eV/atom
energy relative to the elements = 79 meV/atom

---

No. 14
DFT (GGA-PBE) results for crystalline NaMg3Zr at its relaxed geometry.

extended XYZ file:
```
5
Lattice="4.956 0.000 0.000 0.000 4.956 0.000 0.000 0.000 4.956" Properties=species:S:1:pos:R:3 pbc="T T T"
Na 0.000 0.000 0.000
Mg 0.000 2.478 0.000
Mg 0.000 0.000 2.478
Mg 2.478 0.000 0.000
Zr 2.478 2.478 2.478
```

Properties
energy above the most stable polymorph in this dataset = 0.0000 eV per atom
SG = Pm-3m
electronic total energy = -2.136 eV/atom
energy relative to the elements = 794 meV/atom

---

No. 15
DFT (GGA-PBE) results for crystalline MgNb at its relaxed geometry.

extended XYZ file:
```
8
Lattice="-4.681 -2.748 0.845 0.732 -2.701 -4.727 2.781 -3.915 2.667" Properties=species:S:1:pos:R:3 pbc="T T T"
Mg 0.000 0.000 0.000
Mg 1.756 -3.308 -1.030
Mg -0.950 -3.332 1.756
Mg -1.974 -2.724 -1.941
Nb -0.584 -4.682 -0.607
Nb -2.340 -1.374 0.423
Nb 0.366 -1.350 -2.364
Nb 1.390 -1.958 1.334
```

Properties
SG = Fm-3m
electronic total energy = -4.644 eV/atom
energy relative to the elements = 1188 meV/atom

---

No. 16
DFT (GGA-PBE) results for crystalline MgNb at its relaxed geometry.

extended XYZ file:
```
12
Lattice="2.883 0.000 0.000 0.000 14.894 0.000 0.000 0.000 5.381" Properties=species:S:1:pos:R:3 pbc="T T T"
Mg 1.441 9.846 3.650
Mg 1.441 5.048 3.650
Mg 1.441 2.399 0.959
Mg 1.441 12.495 0.959
Mg 1.441 0.000 4.797
Mg 1.441 7.447 2.106
Nb 0.000 2.432 3.594
Nb 0.000 12.462 3.594
Nb 0.000 9.879 0.903
Nb 0.000 5.015 0.903
Nb 0.000 0.000 2.230
Nb 0.000 7.447 4.921
```

Properties
SG = Amm2
electronic total energy = -5.521 eV/atom
energy relative to the elements = 311 meV/atom

---

No. 17
DFT (GGA-PBE) results for crystalline MgNb at its relaxed geometry.

extended XYZ file:
```
8
Lattice="5.414 0.000 0.000 0.000 5.414 0.000 0.000 0.000 5.632" Properties=species:S:1:pos:R:3 pbc="T T T"
Mg 0.959 4.455 0.000
Mg 3.666 3.666 2.816
Mg 1.748 1.748 2.816
Mg 4.455 0.959 0.000
Nb 1.797 1.797 0.000
Nb 4.504 0.910 2.816
Nb 0.910 4.504 2.816
Nb 3.617 3.617 0.000
```

Properties
SG = P4_2/mnm
electronic total energy = -5.016 eV/atom
energy relative to the elements = 816 meV/atom

---

No. 18
DFT (GGA-PBE) results for crystalline MgNb at its relaxed geometry.

extended XYZ file:
```
8
Lattice="-3.521 -1.833 -4.715 -1.486 -5.116 3.098 -4.835 2.907 2.481" Properties=species:S:1:pos:R:3 pbc="T T T"
Mg -2.460 -1.011 0.216
Mg -5.621 -2.115 3.006
Mg -6.638 -0.474 -0.901
Mg -4.964 -4.485 -0.592
Nb 0.000 0.000 0.000
Nb -3.160 -1.105 2.790
Nb -4.178 0.537 -1.117
Nb -2.503 -3.474 -0.808
```

Properties
SG = F-43m
electronic total energy = -3.293 eV/atom
energy relative to the elements = 2540 meV/atom

---

No. 19
DFT (GGA-PBE) results for crystalline MgNb at its relaxed geometry.

extended XYZ file:
```
16
Lattice="10.290 0.000 0.000 0.000 4.926 0.000 0.000 0.000 6.168" Properties=species:S:1:pos:R:3 pbc="T T T"
Mg 0.901 1.232 5.983
Mg 6.046 1.232 3.268
Mg 9.389 3.695 0.185
Mg 4.244 3.695 2.899
Mg 8.540 1.232 4.812
Mg 3.395 1.232 4.439
Mg 1.750 3.695 1.355
Mg 6.895 3.695 1.729
Nb 0.811 1.232 2.884
Nb 5.956 1.232 0.200
Nb 9.479 3.695 3.284
Nb 4.334 3.695 5.967
Nb 8.705 1.232 1.859
Nb 3.560 1.232 1.225
Nb 1.585 3.695 4.309
Nb 6.730 3.695 4.943
```

Properties
SG = Pnma
electronic total energy = -5.575 eV/atom
energy relative to the elements = 257 meV/atom

---

No. 20
DFT (GGA-PBE) results for crystalline MgNb at its relaxed geometry.

extended XYZ file:
```
4
Lattice="-4.059 2.511 -0.679 0.931 -1.957 4.306 2.548 4.527 1.507" Properties=species:S:1:pos:R:3 pbc="T T T"
Mg -0.095 0.664 3.021
Mg -0.484 4.417 2.112
Nb 1.179 2.928 3.774
Nb -1.758 2.153 1.359
```

Properties
SG = P6_3/mmc
electronic total energy = -3.927 eV/atom
energy relative to the elements = 1905 meV/atom

---

No. 21
DFT (GGA-PBE) results for crystalline Mg4Nb at its relaxed geometry.

extended XYZ file:
```
5
Lattice="-0.830 -2.270 4.833 0.672 -4.897 -2.184 5.297 0.265 1.035" Properties=species:S:1:pos:R:3 pbc="T T T"
Nb 2.569 -3.451 1.842
Mg 0.000 0.000 0.000
Mg 2.233 -1.002 2.934
Mg 2.984 -2.316 -0.575
Mg -0.079 -3.583 1.324
```

Properties
SG = Pm-3m
electronic total energy = -2.233 eV/atom
energy relative to the elements = 1057 meV/atom

---

No. 22
DFT (GGA-PBE) results for crystalline MgNb at its relaxed geometry.

extended XYZ file:
```
16
Lattice="9.123 0.000 0.000 0.000 9.123 0.000 0.000 0.000 4.022" Properties=species:S:1:pos:R:3 pbc="T T T"
Mg 1.593 4.562 0.000
Mg 7.530 4.562 0.000
Mg 4.562 7.530 0.000
Mg 4.562 1.593 0.000
Mg 6.154 0.000 2.011
Mg 2.969 0.000 2.011
Mg 0.000 2.969 2.011
Mg 0.000 6.154 2.011
Nb 7.535 7.535 0.000
Nb 7.535 1.588 0.000
Nb 1.588 7.535 0.000
Nb 1.588 1.588 0.000
Nb 2.974 2.974 2.011
Nb 2.974 6.149 2.011
Nb 6.149 2.974 2.011
Nb 6.149 6.149 2.011
```

Properties
SG = I4/mmm
electronic total energy = -5.329 eV/atom
energy relative to the elements = 503 meV/atom

---

No. 23
DFT (GGA-PBE) results for crystalline MgNb at its relaxed geometry.

extended XYZ file:
```
16
Lattice="8.988 0.000 0.000 0.000 8.988 0.000 0.000 0.000 8.988" Properties=species:S:1:pos:R:3 pbc="T T T"
Mg 1.805 1.805 1.805
Mg 1.805 7.183 7.183
Mg 7.183 1.805 7.183
Mg 7.183 7.183 1.805
Mg 6.300 6.300 6.300
Mg 6.300 2.689 2.689
Mg 2.689 6.300 2.689
Mg 2.689 2.689 6.300
Nb 3.580 3.580 3.580
Nb 3.580 5.408 5.408
Nb 5.408 3.580 5.408
Nb 5.408 5.408 3.580
Nb 8.074 8.074 8.074
Nb 8.074 0.914 0.914
Nb 0.914 8.074 0.914
Nb 0.914 0.914 8.074
```

Properties
SG = I-43m
electronic total energy = -4.482 eV/atom
energy relative to the elements = 1350 meV/atom